# 1
AlReNi: optimized geometry, PBE.

spin magnetization: 7.802 μB/cell
theoretical density: 10.05 Mg/m³

Structure (CIF):
```
data_AlReNi
_chemical_formula_sum 'Al4 Re4 Ni4'
_cell_length_a 5.642
_cell_length_b 5.642
_cell_length_c 5.642
_cell_angle_alpha 90.00
_cell_angle_beta 90.00
_cell_angle_gamma 90.00
_space_group_name_H-M_alt 'P 1'
_space_group_IT_number 1
_space_group_name_Hall 'P 1'
loop_
_atom_site_label
_atom_site_type_symbol
_atom_site_fract_x
_atom_site_fract_y
_atom_site_fract_z
Al1 Al 0.000 0.000 0.000
Al2 Al 0.000 0.500 0.500
Al3 Al 0.500 0.000 0.500
Al4 Al 0.500 0.500 0.000
Re1 Re 0.000 0.000 0.500
Re2 Re 0.000 0.500 0.000
Re3 Re 0.500 0.000 0.000
Re4 Re 0.500 0.500 0.500
Ni1 Ni 0.250 0.250 0.250
Ni2 Ni 0.250 0.750 0.750
Ni3 Ni 0.750 0.250 0.750
Ni4 Ni 0.750 0.750 0.250
```

# 2
Zn3Se2Cl2: optimized geometry, PBE.

theoretical density: 4.27 Mg/m³

Structure (CIF):
```
data_Zn3Se2Cl2
_chemical_formula_sum 'Zn6 Se4 Cl4'
_cell_length_a 7.544
_cell_length_b 7.544
_cell_length_c 7.544
_cell_angle_alpha 109.47
_cell_angle_beta 109.47
_cell_angle_gamma 109.47
_space_group_name_H-M_alt 'P 1'
_space_group_IT_number 1
_space_group_name_Hall 'P 1'
loop_
_atom_site_label
_atom_site_type_symbol
_atom_site_fract_x
_atom_site_fract_y
_atom_site_fract_z
Zn1 Zn 0.155 0.750 0.905
Zn2 Zn 0.250 0.595 0.345
Zn3 Zn 0.345 0.250 0.595
Zn4 Zn 0.595 0.345 0.250
Zn5 Zn 0.750 0.905 0.155
Zn6 Zn 0.905 0.155 0.750
Se1 Se 0.000 0.978 0.500
Se2 Se 0.500 0.000 0.978
Se3 Se 0.522 0.522 0.522
Se4 Se 0.978 0.500 0.000
Cl1 Cl 0.000 0.510 0.500
Cl2 Cl 0.500 0.000 0.510
Cl3 Cl 0.510 0.500 0.000
Cl4 Cl 0.990 0.990 0.990
```

# 3
Ni2AuI4: optimized geometry, PBE.

spin magnetization: 0.019 μB/cell
theoretical density: 7.68 Mg/m³

Structure (CIF):
```
data_Ni2AuI4
_chemical_formula_sum 'Ni4 Au2 I8'
_cell_length_a 7.775
_cell_length_b 11.422
_cell_length_c 4.003
_cell_angle_alpha 90.00
_cell_angle_beta 90.00
_cell_angle_gamma 90.00
_space_group_name_H-M_alt 'P 1'
_space_group_IT_number 1
_space_group_name_Hall 'P 1'
loop_
_atom_site_label
_atom_site_type_symbol
_atom_site_fract_x
_atom_site_fract_y
_atom_site_fract_z
Ni1 Ni 0.250 0.250 0.000
Ni2 Ni 0.250 0.750 0.000
Ni3 Ni 0.750 0.250 0.000
Ni4 Ni 0.750 0.750 0.000
Au1 Au 0.000 0.000 0.500
Au2 Au 0.500 0.500 0.500
I1 I 0.000 0.263 0.500
I2 I 0.000 0.737 0.500
I3 I 0.240 0.500 0.000
I4 I 0.260 0.000 0.000
I5 I 0.500 0.237 0.500
I6 I 0.500 0.763 0.500
I7 I 0.740 0.000 0.000
I8 I 0.760 0.500 0.000
```

The calculation returns the following E values, one per record and in order: -7.004; -2.840; -2.746 eV per atom.